(1)
The following is a GGA-PBE calculation of a relaxed Tb12Pr5Nd crystal, from the Alexandria database.

The structure belongs to space group C2/m (No. 12); the cell edges are 11.5251, 17.4424 and 6.0204 Å and the angles 90.00°, 90.02° and 90.00°. The inequivalent atoms are Tb at (0.1784, 0.1666, 0.0536), Tb at (0.1785, 0.0000, 0.4445), Tb at (0.1787, 0.3333, 0.4463), Tb at (0.1796, 0.5000, 0.0554), Pr at (0.0000, 0.1663, 0.5000), Pr at (0.0000, 0.3337, 0.0000), Pr at (0.0000, 0.5000, 0.5000) and Nd at (0.0000, 0.0000, 0.0000).

For the total magnetization, the calculation gives 0.00 μB/atom. The formation energy from the elements comes out at 0.095 eV/atom. Its density of states at the Fermi level is 56.0 states/eV per cell.



(2)
The following is a GGA-PBE calculation of a relaxed Ca3Cd2Au9 crystal, from the Alexandria database.

The structure belongs to space group Immm (No. 71); the cell edges are 4.2124, 10.9371 and 13.4038 Å and the angles 90.00°, 90.00° and 90.00°. The inequivalent atoms are Ca at (0.0000, 0.0000, 0.0000), Ca at (0.0000, 0.0000, 0.2924), Cd at (0.0000, 0.1849, 0.5000), Au at (0.0000, 0.2986, 0.1489), Au at (0.0000, 0.3758, 0.3533) and Au at (0.0000, 0.5000, 0.0000).

For the total magnetization, the calculation gives 0.00 μB/atom. The formation energy from the elements comes out at -0.506 eV/atom. Its density of states at the Fermi level is 10.0 states/eV per cell.



(3)
The following is a GGA-PBE calculation of a relaxed ThNi2H2 crystal, from the Alexandria database.

The structure belongs to space group P6/mmm (No. 191); the cell edges are 4.3358, 4.3358 and 3.5225 Å and the angles 90.00°, 90.00° and 120.00°. The inequivalent atoms are Th at (0.0000, 0.0000, 0.0000), Ni at (0.3333, 0.6667, 0.5000) and H at (0.3333, 0.6667, 0.0000).

For the total magnetization, the calculation gives 0.00 μB/atom. Its density of states at the Fermi level is 3.3 states/eV per cell. As for the total energy: -27.71 eV per formula unit.



(4)
The following is a GGA-PBE calculation of a relaxed In6AgSe8 crystal, from the Alexandria database.

The structure belongs to space group R-3 (No. 148, hexagonal axes); the cell edges are 12.0489, 12.0489 and 11.7938 Å and the angles 90.00°, 90.00° and 120.00°. The inequivalent atoms are In at (0.0102, 0.1949, 0.3523), Ag at (0.0000, 0.0000, 0.0000), Se at (0.0000, 0.0000, 0.2122) and Se at (0.0179, 0.2645, 0.5872).

For the total magnetization, the calculation gives 0.00 μB/atom. The calculation puts the formation energy (no corrections) at -287 meV/atom. Its density of states at the Fermi level is 29.8 states/eV per cell.



- What is the total magnetization in the first record?
  0.00 μB/atom